Arrangement A

This record from Alexandria describes a geometry-optimized La5Cr4 structure. The functional is PBE.

Properties
- size of the total moment (μB per cell) = 0.0
- crystal system = tetragonal

The structure in CIF format:
```
data_La5Cr4
_space_group_name_H-M_alt 'I 4/m m m'
_space_group_IT_number 139
_space_group_name_Hall '-I 4 2'
_cell_length_a 9.8315
_cell_length_b 9.8315
_cell_length_c 4.5427
_cell_angle_alpha 90.00
_cell_angle_beta 90.00
_cell_angle_gamma 90.00
loop_
_atom_site_label
_atom_site_type_symbol
_atom_site_fract_x
_atom_site_fract_y
_atom_site_fract_z
La1 La 0.0000 0.0000 0.0000
La2 La 0.1739 0.1739 0.5000
Cr1 Cr 0.0000 0.3996 0.0000
```


Arrangement B

This record from Alexandria describes a geometry-optimized La5Cr4 structure. The functional is PBE.

Properties
- size of the total moment (μB per cell) = 27.4
- crystal system = hexagonal

The structure in CIF format:
```
data_La5Cr4
_space_group_name_H-M_alt 'P 63/m c m'
_space_group_IT_number 193
_space_group_name_Hall '-P 6c 2'
_cell_length_a 9.2462
_cell_length_b 9.2462
_cell_length_c 6.7073
_cell_angle_alpha 90.00
_cell_angle_beta 90.00
_cell_angle_gamma 120.00
loop_
_atom_site_label
_atom_site_type_symbol
_atom_site_fract_x
_atom_site_fract_y
_atom_site_fract_z
La1 La 0.0000 0.2814 0.2500
La2 La 0.3333 0.6667 0.0000
Cr1 Cr 0.0000 0.0000 0.0000
Cr2 Cr 0.0000 0.3687 0.7500
```


Which structure is most stable? arrangement B, by 95 meV/atom over the runner-up.


Arrangement A

This record from Alexandria describes a geometry-optimized La3Cr2 structure. The functional is PBE.

Properties
- size of the total moment (μB per cell) = 21.2
- crystal system = trigonal

The structure in CIF format:
```
data_La3Cr2
_space_group_name_H-M_alt 'R -3 m'
_space_group_IT_number 166
_space_group_name_Hall '-R 3 2"'
_cell_length_a 3.6931
_cell_length_b 3.6931
_cell_length_c 37.3502
_cell_angle_alpha 90.00
_cell_angle_beta 90.00
_cell_angle_gamma 120.00
loop_
_atom_site_label
_atom_site_type_symbol
_atom_site_fract_x
_atom_site_fract_y
_atom_site_fract_z
La1 La 0.0000 0.0000 0.0000
La2 La 0.0000 0.0000 0.2124
Cr1 Cr 0.0000 0.0000 0.3954
```


Arrangement B

This record from Alexandria describes a geometry-optimized La3Cr2 structure. The functional is PBE.

Properties
- size of the total moment (μB per cell) = 6.2
- crystal system = trigonal

The structure in CIF format:
```
data_La3Cr2
_space_group_name_H-M_alt 'P -3 m 1'
_space_group_IT_number 164
_space_group_name_Hall '-P 3 2"'
_cell_length_a 5.1374
_cell_length_b 5.1374
_cell_length_c 6.4081
_cell_angle_alpha 90.00
_cell_angle_beta 90.00
_cell_angle_gamma 120.00
loop_
_atom_site_label
_atom_site_type_symbol
_atom_site_fract_x
_atom_site_fract_y
_atom_site_fract_z
La1 La 0.0000 0.0000 0.0000
La2 La 0.3333 0.6667 0.3484
Cr1 Cr 0.3333 0.6667 0.8657
```


Which structure is most stable? arrangement B, by 132 meV/atom over the runner-up.


Arrangement A

This record from Alexandria describes a geometry-optimized LaCr5 structure. The functional is PBE.

Properties
- size of the total moment (μB per cell) = 3.5
- crystal system = hexagonal

The structure in CIF format:
```
data_LaCr5
_space_group_name_H-M_alt 'P 6/m m m'
_space_group_IT_number 191
_space_group_name_Hall '-P 6 2'
_cell_length_a 5.6886
_cell_length_b 5.6886
_cell_length_c 3.6550
_cell_angle_alpha 90.00
_cell_angle_beta 90.00
_cell_angle_gamma 120.00
loop_
_atom_site_label
_atom_site_type_symbol
_atom_site_fract_x
_atom_site_fract_y
_atom_site_fract_z
La1 La 0.0000 0.0000 0.0000
Cr1 Cr 0.0000 0.5000 0.5000
Cr2 Cr 0.3333 0.6667 0.0000
```


Arrangement B

This record from Alexandria describes a geometry-optimized LaCr5 structure. The functional is PBE.

Properties
- size of the total moment (μB per cell) = 6.1
- crystal system = orthorhombic

The structure in CIF format:
```
data_LaCr5
_space_group_name_H-M_alt 'A m m 2'
_space_group_IT_number 38
_cell_length_a 4.2948
_cell_length_b 3.0092
_cell_length_c 15.5130
_cell_angle_alpha 90.00
_cell_angle_beta 90.00
_cell_angle_gamma 90.00
loop_
_space_group_symop_operation_xyz
'x,y,z'
'-x,-y,z'
'-x,y,z'
'x,-y,z'
'x,y+1/2,z+1/2'
'-x,-y+1/2,z+1/2'
'-x,y+1/2,z+1/2'
'x,-y+1/2,z+1/2'
loop_
_atom_site_label
_atom_site_type_symbol
_atom_site_fract_x
_atom_site_fract_y
_atom_site_fract_z
La1 La 0.0000 0.0000 0.0000
Cr1 Cr 0.0000 0.0000 0.3171
Cr2 Cr 0.0000 0.0000 0.6994
Cr3 Cr 0.5000 0.0000 0.1990
Cr4 Cr 0.5000 0.0000 0.5864
Cr5 Cr 0.5000 0.0000 0.8297
```


Which structure is most stable? arrangement A, by 151 meV/atom over the runner-up.


Arrangement A

This record from Alexandria describes a geometry-optimized LaCr5 structure. The functional is PBE.

Properties
- size of the total moment (μB per cell) = 5.1
- crystal system = cubic

The structure in CIF format:
```
data_LaCr5
_space_group_name_H-M_alt 'F -4 3 m'
_space_group_IT_number 216
_space_group_name_Hall 'F -4 2 3'
_cell_length_a 7.1402
_cell_length_b 7.1402
_cell_length_c 7.1402
_cell_angle_alpha 90.00
_cell_angle_beta 90.00
_cell_angle_gamma 90.00
loop_
_atom_site_label
_atom_site_type_symbol
_atom_site_fract_x
_atom_site_fract_y
_atom_site_fract_z
La1 La 0.0000 0.0000 0.0000
Cr1 Cr 0.1246 0.1246 0.6246
Cr2 Cr 0.2500 0.2500 0.2500
```


Arrangement B

This record from Alexandria describes a geometry-optimized LaCr5 structure. The functional is PBE.

Properties
- size of the total moment (μB per cell) = 0.1
- crystal system = monoclinic

The structure in CIF format:
```
data_LaCr5
_space_group_name_H-M_alt 'C 1 2/m 1'
_space_group_IT_number 12
_cell_length_a 8.7027
_cell_length_b 2.9365
_cell_length_c 7.7411
_cell_angle_alpha 90.00
_cell_angle_beta 104.99
_cell_angle_gamma 90.00
loop_
_space_group_symop_operation_xyz
'x,y,z'
'-x,-y,-z'
'-x,y,-z'
'x,-y,z'
'x+1/2,y+1/2,z'
'-x+1/2,-y+1/2,-z'
'-x+1/2,y+1/2,-z'
'x+1/2,-y+1/2,z'
loop_
_atom_site_label
_atom_site_type_symbol
_atom_site_fract_x
_atom_site_fract_y
_atom_site_fract_z
La1 La 0.0000 0.0000 0.0000
Cr1 Cr 0.0000 0.0000 0.5000
Cr2 Cr 0.1661 0.5000 0.7215
Cr3 Cr 0.1710 0.5000 0.3736
```


Which structure is most stable? arrangement B, by 125 meV/atom over the runner-up.


Arrangement A

This record from Alexandria describes a geometry-optimized La3Cr4 structure. The functional is PBE.

Properties
- size of the total moment (μB per cell) = 0.5
- crystal system = tetragonal

The structure in CIF format:
```
data_La3Cr4
_space_group_name_H-M_alt 'I 4/m m m'
_space_group_IT_number 139
_space_group_name_Hall '-I 4 2'
_cell_length_a 3.1973
_cell_length_b 3.1973
_cell_length_c 29.8335
_cell_angle_alpha 90.00
_cell_angle_beta 90.00
_cell_angle_gamma 90.00
loop_
_atom_site_label
_atom_site_type_symbol
_atom_site_fract_x
_atom_site_fract_y
_atom_site_fract_z
La1 La 0.0000 0.0000 0.0000
La2 La 0.0000 0.0000 0.3065
Cr1 Cr 0.0000 0.0000 0.1148
Cr2 Cr 0.0000 0.0000 0.4181
```


Arrangement B

This record from Alexandria describes a geometry-optimized La3Cr4 structure. The functional is PBE.

Properties
- size of the total moment (μB per cell) = 7.4
- crystal system = hexagonal

The structure in CIF format:
```
data_La3Cr4
_space_group_name_H-M_alt 'P 6/m m m'
_space_group_IT_number 191
_space_group_name_Hall '-P 6 2'
_cell_length_a 6.7033
_cell_length_b 6.7033
_cell_length_c 4.6949
_cell_angle_alpha 90.00
_cell_angle_beta 90.00
_cell_angle_gamma 120.00
loop_
_atom_site_label
_atom_site_type_symbol
_atom_site_fract_x
_atom_site_fract_y
_atom_site_fract_z
La1 La 0.0000 0.5000 0.0000
Cr1 Cr 0.0000 0.0000 0.1958
Cr2 Cr 0.3333 0.6667 0.5000
```


Which structure is most stable? arrangement A, by 642 meV/atom over the runner-up.


Arrangement A

This record from Alexandria describes a geometry-optimized Li2LaCrRh structure. The functional is PBE.

Properties
- size of the total moment (μB per cell) = 2.6
- crystal system = tetragonal

The structure in CIF format:
```
data_Li2LaCrRh
_space_group_name_H-M_alt 'P 4/m m m'
_space_group_IT_number 123
_space_group_name_Hall '-P 4 2'
_cell_length_a 4.6949
_cell_length_b 4.6949
_cell_length_c 4.6877
_cell_angle_alpha 90.00
_cell_angle_beta 90.00
_cell_angle_gamma 90.00
loop_
_atom_site_label
_atom_site_type_symbol
_atom_site_fract_x
_atom_site_fract_y
_atom_site_fract_z
Li1 Li 0.0000 0.5000 0.0000
La1 La 0.0000 0.0000 0.5000
Cr1 Cr 0.5000 0.5000 0.5000
Rh1 Rh 0.5000 0.5000 0.0000
```


Arrangement B

This record from Alexandria describes a geometry-optimized Li2LaCrRh structure. The functional is PBE.

Properties
- size of the total moment (μB per cell) = 4.5
- crystal system = tetragonal

The structure in CIF format:
```
data_Li2LaCrRh
_space_group_name_H-M_alt 'P 4/m m m'
_space_group_IT_number 123
_space_group_name_Hall '-P 4 2'
_cell_length_a 4.4769
_cell_length_b 4.4769
_cell_length_c 5.7427
_cell_angle_alpha 90.00
_cell_angle_beta 90.00
_cell_angle_gamma 90.00
loop_
_atom_site_label
_atom_site_type_symbol
_atom_site_fract_x
_atom_site_fract_y
_atom_site_fract_z
Li1 Li 0.0000 0.5000 0.0000
La1 La 0.0000 0.0000 0.5000
Cr1 Cr 0.0000 0.0000 0.0000
Rh1 Rh 0.5000 0.5000 0.5000
```


Which structure is most stable? arrangement A, by 606 meV/atom over the runner-up.


Arrangement A

This record from Alexandria describes a geometry-optimized LaMgCr3 structure. The functional is PBE.

Properties
- size of the total moment (μB per cell) = 11.0
- crystal system = cubic

The structure in CIF format:
```
data_LaMgCr3
_space_group_name_H-M_alt 'P m -3 m'
_space_group_IT_number 221
_space_group_name_Hall '-P 4 2 3'
_cell_length_a 4.8936
_cell_length_b 4.8936
_cell_length_c 4.8936
_cell_angle_alpha 90.00
_cell_angle_beta 90.00
_cell_angle_gamma 90.00
loop_
_atom_site_label
_atom_site_type_symbol
_atom_site_fract_x
_atom_site_fract_y
_atom_site_fract_z
La1 La 0.0000 0.0000 0.0000
Mg1 Mg 0.5000 0.5000 0.5000
Cr1 Cr 0.0000 0.5000 0.5000
```


Arrangement B

This record from Alexandria describes a geometry-optimized LaMgCr3 structure. The functional is PBE.

Properties
- size of the total moment (μB per cell) = 6.1
- crystal system = cubic

The structure in CIF format:
```
data_LaMgCr3
_space_group_name_H-M_alt 'P m -3 m'
_space_group_IT_number 221
_space_group_name_Hall '-P 4 2 3'
_cell_length_a 4.6592
_cell_length_b 4.6592
_cell_length_c 4.6592
_cell_angle_alpha 90.00
_cell_angle_beta 90.00
_cell_angle_gamma 90.00
loop_
_atom_site_label
_atom_site_type_symbol
_atom_site_fract_x
_atom_site_fract_y
_atom_site_fract_z
La1 La 0.0000 0.0000 0.0000
Mg1 Mg 0.5000 0.5000 0.5000
Cr1 Cr 0.0000 0.0000 0.5000
```


Which structure is most stable? arrangement A, by 551 meV/atom over the runner-up.


Arrangement A

This record from Alexandria describes a geometry-optimized LaMn2Cr structure. The functional is PBE.

Properties
- size of the total moment (μB per cell) = 9.5
- crystal system = orthorhombic

The structure in CIF format:
```
data_LaMn2Cr
_space_group_name_H-M_alt 'I m m m'
_space_group_IT_number 71
_space_group_name_Hall '-I 2 2'
_cell_length_a 3.1869
_cell_length_b 4.9834
_cell_length_c 9.5575
_cell_angle_alpha 90.00
_cell_angle_beta 90.00
_cell_angle_gamma 90.00
loop_
_atom_site_label
_atom_site_type_symbol
_atom_site_fract_x
_atom_site_fract_y
_atom_site_fract_z
La1 La 0.0000 0.0000 0.0000
Mn1 Mn 0.0000 0.5000 0.2126
Cr1 Cr 0.0000 0.0000 0.5000
```


Arrangement B

This record from Alexandria describes a geometry-optimized LaMn2Cr structure. The functional is PBE.

Properties
- size of the total moment (μB per cell) = 3.3
- crystal system = tetragonal

The structure in CIF format:
```
data_LaMn2Cr
_space_group_name_H-M_alt 'P 4 m m'
_space_group_IT_number 99
_cell_length_a 3.0785
_cell_length_b 3.0785
_cell_length_c 7.4986
_cell_angle_alpha 90.00
_cell_angle_beta 90.00
_cell_angle_gamma 90.00
loop_
_space_group_symop_operation_xyz
'x,y,z'
'-y,x,z'
'-x,-y,z'
'y,-x,z'
'-x,y,z'
'y,x,z'
'x,-y,z'
'-y,-x,z'
loop_
_atom_site_label
_atom_site_type_symbol
_atom_site_fract_x
_atom_site_fract_y
_atom_site_fract_z
La1 La 0.0000 0.0000 0.0000
Mn1 Mn 0.0000 0.0000 0.4998
Mn2 Mn 0.5000 0.5000 0.6881
Cr1 Cr 0.5000 0.5000 0.3263
```


Which structure is most stable? arrangement B, by 244 meV/atom over the runner-up.